(1)
Below is a relaxed Er12Cu6Sn crystal, with properties calculated at the PBE level.

```
Er12Cu6Sn
1.0
-4.882 4.882 4.882
4.882 -4.882 4.882
4.882 4.882 -4.882
Er Cu Sn
12 6 1
direct
0.110 0.811 0.298 Er
0.189 0.298 0.487 Er
0.189 0.702 0.890 Er
0.298 0.110 0.811 Er
0.298 0.487 0.189 Er
0.487 0.189 0.298 Er
0.513 0.811 0.702 Er
0.702 0.513 0.811 Er
0.702 0.890 0.189 Er
0.811 0.298 0.110 Er
0.811 0.702 0.513 Er
0.890 0.189 0.702 Er
0.124 0.624 0.500 Cu
0.376 0.500 0.876 Cu
0.500 0.124 0.624 Cu
0.500 0.876 0.376 Cu
0.624 0.500 0.124 Cu
0.876 0.376 0.500 Cu
0.000 0.000 0.000 Sn
```

Its crystal system is cubic. For the total energy, the calculation gives -88.1 eV/f.u.


(2)
Below is a relaxed TlHgBr2 crystal, with properties calculated at the PBE level.

```
TlHgBr2
1.0
2.329 1.345 9.447
-2.329 1.345 9.447
0.000 -2.689 9.447
Tl Hg Br
1 1 2
direct
0.000 0.000 0.000 Tl
0.500 0.500 0.500 Hg
0.402 0.402 0.402 Br
0.598 0.598 0.598 Br
```

The uncorrected formation energy comes out at -0.39 eV per atom. Its crystal system is trigonal. The offset from the most stable computed form comes out at 0.134 eV per atom.


(3)
Below is a relaxed CaSnHgAs crystal, with properties calculated at the PBE level.

```
CaSnHgAs
1.0
0.000 3.690 3.690
3.690 0.000 3.690
3.690 3.690 0.000
Ca Sn Hg As
1 1 1 1
direct
0.000 0.000 0.000 Ca
0.500 0.500 0.500 Sn
0.750 0.750 0.750 Hg
0.250 0.250 0.250 As
```

Its crystal system is cubic. For the total energy, the calculation gives -12.4 eV/f.u.


(4)
Below is a relaxed PmIrRh2 crystal, with properties calculated at the PBE level.

```
PmIrRh2
1.0
2.665 1.539 8.844
-2.665 1.539 8.844
0.000 -3.078 8.844
Pm Ir Rh
3 3 6
direct
0.000 0.000 0.000 Pm
0.139 0.139 0.139 Pm
0.861 0.861 0.861 Pm
0.332 0.332 0.332 Ir
0.500 0.500 0.500 Ir
0.668 0.668 0.668 Ir
0.084 0.580 0.580 Rh
0.420 0.420 0.916 Rh
0.420 0.916 0.420 Rh
0.580 0.084 0.580 Rh
0.580 0.580 0.084 Rh
0.916 0.420 0.420 Rh
```

Its crystal system is trigonal. The offset from the most stable computed form comes out at 0.000 eV per atom.


(5)
Below is a relaxed NaSr2I crystal, with properties calculated at the PBE level.

```
NaSr2I
1.0
-4.840 4.840 4.210
4.840 -4.840 4.210
4.840 4.840 -4.210
Na Sr I
2 4 2
direct
0.000 0.000 0.000 Na
0.750 0.250 0.500 Na
0.153 0.625 0.028 Sr
0.375 0.403 0.528 Sr
0.597 0.125 0.972 Sr
0.875 0.847 0.472 Sr
0.250 0.750 0.500 I
0.500 0.500 0.000 I
```

The uncorrected formation energy comes out at -0.39 eV per atom. Its crystal system is tetragonal. The offset from the most stable computed form comes out at 0.146 eV per atom.


(6)
Below is a relaxed K2V2Cl7 crystal, with properties calculated at the PBE level.

```
K2V2Cl7
1.0
4.946 -6.179 0.000
4.946 6.179 0.000
-1.215 0.000 6.468
K V Cl
2 2 7
direct
0.199 0.801 0.000 K
0.801 0.199 0.000 K
0.278 0.278 0.583 V
0.722 0.722 0.417 V
0.105 0.410 0.771 Cl
0.121 0.121 0.284 Cl
0.410 0.105 0.771 Cl
0.500 0.500 0.500 Cl
0.590 0.895 0.229 Cl
0.879 0.879 0.716 Cl
0.895 0.590 0.229 Cl
```

The uncorrected formation energy comes out at -1.39 eV per atom. Its crystal system is monoclinic. The offset from the most stable computed form comes out at 0.000 eV per atom.


| no. | magnetic moment (μB per formula unit) |
| --- | --- |
| 1 | 0.000 |
| 2 | 0.000 |
| 3 | 0.000 |
| 4 | 0.000 |
| 5 | 0.000 |
| 6 | 5.000 |